! PBE CoSi4Os, relaxed; values from VASP
&SYSTEM
  ibrav = 0, nat = 6, ntyp = 3
/
ATOMIC_SPECIES
Si 28.09 Si.upf
Co 58.93 Co.upf
Os 190.23 Os.upf
ATOMIC_POSITIONS angstrom
Si 2.5210 2.5210 2.5210
Si 4.1989 2.5210 4.1989
Si 4.1989 4.1989 2.5210
Si 2.5210 4.1989 4.1989
Co 5.0399 5.0399 5.0399
Os 0.0000 0.0000 0.0000
CELL_PARAMETERS angstrom
0.0000 3.3599 3.3599
3.3599 0.0000 3.3599
3.3599 3.3599 0.0000
! DOS at the Fermi energy   5.0 states/eV/cell
! Energy relative to the elements, uncorrected   606 meV per atom
! Space-group type   F-43m, No. 216